This record from the Alexandria database describes a relaxed structure of CuSiP2O. The functional is PBE.

The structure in extended XYZ format:
```
5
Lattice="4.7603 0.0000 0.0000 0.0000 4.7603 0.0000 0.0000 0.0000 3.2042" Properties=species:S:1:pos:R:3 pbc="T T T"
P 0.0000 2.3802 0.0000
P 2.3802 0.0000 0.0000
Si 0.0000 0.0000 0.0000
O 0.0000 0.0000 1.6021
Cu 2.3802 2.3802 1.6021
```

N(E_F)   2.16 states/eV/f.u.
Total magnetization   0.0 μB/cell
SG   P4/mmm, No. 123
Energy relative to the elements, uncorrected   -0.045 eV/atom
E above lowest polymorph   0.0 meV per atom